Entry from Alexandria: LiOsBr2F after structural relaxation (GGA-PBE).

Lattice parameters (Å, degrees): 4.6197 4.6197 5.0006 90.00 90.00 90.00
Fractional positions:
Li (0.0000, 0.0000, 0.0000)
Os (0.0000, 0.0000, 0.5000)
Br (0.0000, 0.5000, 0.0000)
Br (0.5000, 0.0000, 0.0000)
F (0.5000, 0.5000, 0.5000)

Computed properties:
- E_tot (eV per cell) = -14.59
- energy relative to the elements, uncorrected (meV/atom) = 754
- total moment (μB per formula unit) = 4.12